DFT (PBE-GGA) results for a relaxed structure of NiRuCl2.

**Formation energy (no corrections)**: 52.0 kJ per mole of atoms
**E_tot**: -4.148 eV/atom

Geometry as POSCAR:
```
NiRuCl2
1.0
2.979 0.000 0.000
0.000 3.813 0.000
0.000 0.000 5.799
Ni Ru Cl
1 1 2
Direct
0.000 0.000 0.000
0.500 0.000 0.500
0.000 0.500 0.500
0.500 0.500 0.000
```


DFT (PBE-GGA) results for a relaxed structure of NiRuCl2.

**Formation energy (no corrections)**: 43.4 kJ per mole of atoms
**E_tot**: -4.237 eV/atom

Geometry as POSCAR:
```
NiRuCl2
1.0
1.577 0.910 7.190
-1.577 0.910 7.190
0.000 -1.820 7.190
Ni Ru Cl
1 1 2
Direct
0.000 0.000 0.000
0.500 0.500 0.500
0.259 0.259 0.259
0.741 0.741 0.741
```


Q: The lowest E_tot belongs to which entry?
A: number 2


Q: What is the formation energy (no corrections) in the second record?
A: 43.4 kJ per mole of atoms


Q: Which formula does entry 2 have?
A: NiRuCl2


Please write out number 2 again, unchanged.
DFT (PBE-GGA) results for a relaxed structure of NiRuCl2.

**Formation energy (no corrections)**: 43.4 kJ per mole of atoms
**E_tot**: -4.237 eV/atom

Geometry as POSCAR:
```
NiRuCl2
1.0
1.577 0.910 7.190
-1.577 0.910 7.190
0.000 -1.820 7.190
Ni Ru Cl
1 1 2
Direct
0.000 0.000 0.000
0.500 0.500 0.500
0.259 0.259 0.259
0.741 0.741 0.741
```